1.
Computed, not measured: a relaxed structure of Ti2AsSe at the PBE-GGA level of DFT.

a b c (Å): 5.7711 5.7711 11.5389
angles (deg): 90.00 90.00 90.00
Closest atoms and distances in Å follow each position.
Space group I-42d (No. 122)
Symmetry-distinct sites (fractional):
Ti  0.2465  0.2500  0.1250 x8  2 As 2.49, 2 Se 2.51
As  0.0000  0.0000  0.0000 x4  4 Ti 2.49
Se  0.0000  0.0000  0.5000 x4  4 Ti 2.51

Properties
ΔE to the lowest computed polymorph: 467.9 meV/atom
Uncorrected formation energy: -0.45 eV/atom

---

2.
Computed, not measured: a relaxed structure of Ti2AsSe at the PBE-GGA level of DFT.

a b c (Å): 3.5724 3.5724 19.1798
angles (deg): 90.00 90.00 120.00
Closest atoms and distances in Å follow each position.
Space group R3m (No. 160, hexagonal axes)
Symmetry-distinct sites (fractional):
Ti  0.0000  0.0000  0.0000 x3  3 As 2.55, 3 Se 2.66
Ti  0.0000  0.0000  0.1768 x3  3 As 2.56, 3 Se 2.68
As  0.0000  0.0000  0.5887 x3  6 Ti 2.55-2.56
Se  0.0000  0.0000  0.4206 x3  6 Ti 2.66-2.68

Properties
ΔE to the lowest computed polymorph: 0.0 meV/atom
Uncorrected formation energy: -0.92 eV/atom

---

3.
Computed, not measured: a relaxed structure of Ti6As3Se at the PBE-GGA level of DFT.

a b c (Å): 9.5118 11.9537 6.3566
angles (deg): 90.00 90.00 90.00
Closest atoms and distances in Å follow each position.
Space group Cmc2_1 (No. 36)
Symmetry-distinct sites (fractional):
Ti  0.0000  0.0184  0.0000 x4  2 Se 2.48-2.71, 4 As 2.60-2.72
Ti  0.0000  0.2413  0.3697 x4  1 Se 2.47, 3 As 2.58-2.60
Ti  0.1600  0.4489  0.4351 x8  4 As 2.53-2.58
Ti  0.1767  0.2599  0.9878 x8  1 Se 2.55, 3 As 2.59-2.62
As  0.0000  0.4098  0.1150 x4  7 Ti 2.55-2.59
As  0.1885  0.0954  0.2587 x8  7 Ti 2.53-2.72
Se  0.0000  0.1709  0.7357 x4  5 Ti 2.47-2.71

Properties
Uncorrected formation energy: -0.73 eV/atom

---

4.
Computed, not measured: a relaxed structure of Ti2AsSe2 at the PBE-GGA level of DFT.

a b c (Å): 7.2249 7.2249 3.3576
angles (deg): 90.00 90.00 90.00
Closest atoms and distances in Å follow each position.
Space group P4/mbm (No. 127)
Symmetry-distinct sites (fractional):
Ti  0.1491  0.3509  0.0000 x4  6 Se 2.68-2.73, 2 As 2.75
As  0.0000  0.0000  0.0000 x2  4 Ti 2.75
Se  0.1407  0.6407  0.5000 x4  6 Ti 2.68-2.73, 1 Se 2.87

Properties
Uncorrected formation energy: -0.76 eV/atom

---

5.
Computed, not measured: a relaxed structure of Ti2AsSe at the PBE-GGA level of DFT.

a b c (Å): 3.7096 3.7096 18.2025
angles (deg): 90.00 90.00 120.00
Closest atoms and distances in Å follow each position.
Space group R-3m (No. 166, hexagonal axes)
Symmetry-distinct sites (fractional):
Ti  0.0000  0.0000  0.2389 x6  3 As 2.51, 3 Se 2.75
As  0.0000  0.0000  0.5000 x3  6 Ti 2.51
Se  0.0000  0.0000  0.0000 x3  6 Ti 2.75

Properties
ΔE to the lowest computed polymorph: 42.5 meV/atom
Uncorrected formation energy: -0.88 eV/atom

---

6.
Computed, not measured: a relaxed structure of TiTlAsSe2 at the PBE-GGA level of DFT.

a b c (Å): 5.0199 5.0199 5.0304
angles (deg): 90.00 90.00 90.00
Closest atoms and distances in Å follow each position.
Space group P4/mmm (No. 123)
Symmetry-distinct sites (fractional):
Ti  0.0000  0.0000  0.0000 x1  4 Se 2.51, 2 As 2.52
Tl  0.5000  0.5000  0.5000 x1  4 As 3.55, 8 Se 3.55
As  0.0000  0.0000  0.5000 x1  2 Ti 2.52
Se  0.0000  0.5000  0.0000 x2  2 Ti 2.51

Properties
ΔE to the lowest computed polymorph: 0.0 meV/atom
Uncorrected formation energy: -0.38 eV/atom